Compound: Na3Co3IO8
Source: Alexandria
Functional: GGA+U
Structure: optimized geometry

Calculated values
As for the total energy: -4.98 eV per atom. The value obtained for the volume is 11.78 A^3/atom. As for the density of states at the Fermi level: 1.2 states/eV/cell. Its space group is C2/m (12). The calculation puts the mass density at 4707 kg/m³. For the total magnetic moment, the calculation gives 3.04 μB/cell.

Lattice parameters (Å, degrees): 6.087 6.095 6.529 117.83 89.96 120.05
Each line ends with the local moment (μB).
Element x y z (fractional)
O: 0.251 0.978 0.700  0.04
Co: 0.500 0.500 0.500  -0.02
I: 0.000 0.000 0.500  0.00
Co: 0.500 0.000 0.500  -0.02
O: 0.748 0.527 0.300  0.04
O: 0.709 0.446 0.683  0.05
O: 0.252 0.473 0.700  0.04
Na: 0.500 0.500 0.000  0.01
Co: 0.000 0.500 0.500  2.70
O: 0.291 0.554 0.317  0.05
O: 0.717 0.958 0.699  0.01
Na: 0.000 0.000 0.000  0.00
O: 0.749 0.022 0.300  0.04
Na: 0.000 0.500 0.000  0.00
O: 0.283 0.042 0.301  0.01